# PBE SbHS2, optimized geometry
# SG: R-3m (166)
# Electronic total energy (eV for the cell shown): -12.63
# Total magnetic moment (μB per atom): 0.000
# ρ (Mg/m³): 4.522
# DOS(E_F) (states/eV/atom): 0.5974
data_SbHS2
_space_group_name_H-M_alt 'P 1'
_space_group_IT_number 1
_space_group_name_Hall 'P 1'
_cell_length_a 7.532
_cell_length_b 7.532
_cell_length_c 7.532
_cell_angle_alpha 25.29
_cell_angle_beta 25.29
_cell_angle_gamma 25.29
loop_
_atom_site_label
_atom_site_fract_x
_atom_site_fract_y
_atom_site_fract_z
Sb1 0.000 0.000 0.000
H1 0.500 0.500 0.500
S1 0.883 0.883 0.883
S2 0.117 0.117 0.117



# PBE SbHS3, optimized geometry
# SG: Pm-3m (221)
# Electronic total energy (eV for the cell shown): -15.97
# Total magnetic moment (μB per atom): 0.000
# ρ (Mg/m³): 4.746
# DOS(E_F) (states/eV/atom): 0.6838
data_SbHS3
_space_group_name_H-M_alt 'P 1'
_space_group_IT_number 1
_space_group_name_Hall 'P 1'
_cell_length_a 4.247
_cell_length_b 4.247
_cell_length_c 4.247
_cell_angle_alpha 90.00
_cell_angle_beta 90.00
_cell_angle_gamma 90.00
loop_
_atom_site_label
_atom_site_fract_x
_atom_site_fract_y
_atom_site_fract_z
H1 0.000 0.000 0.000
Sb1 0.500 0.500 0.500
S1 0.000 0.500 0.000
S2 0.500 0.000 0.000
S3 0.000 0.000 0.500



# PBE SbHS2, optimized geometry
# SG: Pnma (62)
# Electronic total energy (eV for the cell shown): -66.72
# Total magnetic moment (μB per atom): 0.000
# ρ (Mg/m³): 3.454
# DOS(E_F) (states/eV/atom): 0.0000
data_SbHS2
_space_group_name_H-M_alt 'P 1'
_space_group_IT_number 1
_space_group_name_Hall 'P 1'
_cell_length_a 3.965
_cell_length_b 7.949
_cell_length_c 11.403
_cell_angle_alpha 90.00
_cell_angle_beta 90.00
_cell_angle_gamma 90.00
loop_
_atom_site_label
_atom_site_fract_x
_atom_site_fract_y
_atom_site_fract_z
H1 0.568 0.925 0.652
Sb1 0.568 0.098 0.129
Sb2 0.068 0.902 0.871
S1 0.568 0.050 0.733
S2 0.068 0.950 0.267
H2 0.068 0.575 0.152
S3 0.068 0.180 0.970
S4 0.568 0.320 0.470
Sb3 0.568 0.598 0.371
S5 0.068 0.450 0.233
H3 0.068 0.075 0.348
S6 0.568 0.820 0.030
S7 0.568 0.550 0.767
S8 0.068 0.680 0.530
H4 0.568 0.425 0.848
Sb4 0.068 0.402 0.629



# PBE SbHS2, optimized geometry
# SG: R-3m (166)
# Electronic total energy (eV for the cell shown): -16.05
# Total magnetic moment (μB per atom): 0.000
# ρ (Mg/m³): 3.476
# DOS(E_F) (states/eV/atom): 0.0000
data_SbHS2
_space_group_name_H-M_alt 'P 1'
_space_group_IT_number 1
_space_group_name_Hall 'P 1'
_cell_length_a 6.620
_cell_length_b 6.620
_cell_length_c 6.620
_cell_angle_alpha 35.92
_cell_angle_beta 35.92
_cell_angle_gamma 35.92
loop_
_atom_site_label
_atom_site_fract_x
_atom_site_fract_y
_atom_site_fract_z
Sb1 0.500 0.500 0.500
S1 0.088 0.088 0.088
S2 0.912 0.912 0.912
H1 0.000 0.000 0.000



# PBE SbHS3, optimized geometry
# SG: Pm-3m (221)
# Electronic total energy (eV for the cell shown): -14.87
# Total magnetic moment (μB per atom): 0.111
# ρ (Mg/m³): 2.853
# DOS(E_F) (states/eV/atom): 0.9431
data_SbHS3
_space_group_name_H-M_alt 'P 1'
_space_group_IT_number 1
_space_group_name_Hall 'P 1'
_cell_length_a 5.032
_cell_length_b 5.032
_cell_length_c 5.032
_cell_angle_alpha 90.00
_cell_angle_beta 90.00
_cell_angle_gamma 90.00
loop_
_atom_site_label
_atom_site_fract_x
_atom_site_fract_y
_atom_site_fract_z
S1 0.500 0.000 0.000
S2 0.000 0.500 0.000
Sb1 0.000 0.000 0.000
S3 0.000 0.000 0.500
H1 0.500 0.500 0.500



# PBE SbHS2, optimized geometry
# SG: Fm-3m (225)
# Electronic total energy (eV for the cell shown): -13.28
# Total magnetic moment (μB per atom): 0.014
# ρ (Mg/m³): 4.634
# DOS(E_F) (states/eV/atom): 0.4941
data_SbHS2
_space_group_name_H-M_alt 'P 1'
_space_group_IT_number 1
_space_group_name_Hall 'P 1'
_cell_length_a 4.558
_cell_length_b 4.558
_cell_length_c 4.558
_cell_angle_alpha 60.00
_cell_angle_beta 60.00
_cell_angle_gamma 60.00
loop_
_atom_site_label
_atom_site_fract_x
_atom_site_fract_y
_atom_site_fract_z
S1 0.750 0.750 0.750
H1 0.000 0.000 0.000
Sb1 0.500 0.500 0.500
S2 0.250 0.250 0.250



# PBE SbHS, optimized geometry
# SG: P2_1/c (14)
# Electronic total energy (eV for the cell shown): -138.99
# Total magnetic moment (μB per atom): 0.000
# ρ (Mg/m³): 3.455
# DOS(E_F) (states/eV/atom): 0.0000
data_SbHS
_space_group_name_H-M_alt 'P 1'
_space_group_IT_number 1
_space_group_name_Hall 'P 1'
_cell_length_a 10.114
_cell_length_b 7.239
_cell_length_c 12.492
_cell_angle_alpha 90.00
_cell_angle_beta 90.00
_cell_angle_gamma 102.52
loop_
_atom_site_label
_atom_site_fract_x
_atom_site_fract_y
_atom_site_fract_z
H1 0.830 0.586 0.440
Sb1 0.737 0.720 0.365
Sb2 0.697 0.755 0.062
S1 0.587 0.983 0.886
S2 0.087 0.983 0.614
S3 0.836 0.623 0.199
H2 0.167 0.234 0.027
Sb3 0.763 0.280 0.865
S4 0.728 0.906 0.618
H3 0.024 0.324 0.226
H4 0.976 0.676 0.774
H5 0.476 0.676 0.726
Sb4 0.263 0.280 0.635
S5 0.664 0.377 0.699
H6 0.667 0.234 0.473
H7 0.670 0.414 0.940
S6 0.228 0.906 0.882
H8 0.330 0.586 0.060
H9 0.833 0.766 0.973
H10 0.524 0.324 0.274
S7 0.336 0.623 0.301
Sb5 0.237 0.720 0.135
S8 0.164 0.377 0.801
S9 0.772 0.094 0.118
Sb6 0.005 0.920 0.801
Sb7 0.995 0.080 0.199
Sb8 0.303 0.245 0.938
S10 0.913 0.017 0.386
Sb9 0.803 0.245 0.562
H11 0.170 0.414 0.560
S11 0.272 0.094 0.382
Sb10 0.197 0.755 0.438
Sb11 0.495 0.080 0.301
H12 0.333 0.766 0.527
S12 0.413 0.017 0.114
Sb12 0.505 0.920 0.699



# PBE SbHS2, optimized geometry
# SG: I-42d (122)
# Electronic total energy (eV for the cell shown): -28.18
# Total magnetic moment (μB per atom): 0.000
# ρ (Mg/m³): 4.400
# DOS(E_F) (states/eV/atom): 0.1799
data_SbHS2
_space_group_name_H-M_alt 'P 1'
_space_group_IT_number 1
_space_group_name_Hall 'P 1'
_cell_length_a 6.140
_cell_length_b 6.140
_cell_length_c 5.732
_cell_angle_alpha 57.61
_cell_angle_beta 57.61
_cell_angle_gamma 90.00
loop_
_atom_site_label
_atom_site_fract_x
_atom_site_fract_y
_atom_site_fract_z
S1 0.875 0.800 0.750
S2 0.550 0.125 0.250
H1 0.250 0.750 0.500
S3 0.200 0.625 0.250
Sb1 0.750 0.250 0.500
Sb2 0.000 0.000 0.000
H2 0.500 0.500 0.000
S4 0.375 0.450 0.750



# PBE SbHS, optimized geometry
# SG: P-1 (2)
# Electronic total energy (eV for the cell shown): -22.96
# Total magnetic moment (μB per atom): 0.000
# ρ (Mg/m³): 4.026
data_SbHS
_space_group_name_H-M_alt 'P 1'
_space_group_IT_number 1
_space_group_name_Hall 'P 1'
_cell_length_a 4.454
_cell_length_b 6.073
_cell_length_c 9.994
_cell_angle_alpha 35.14
_cell_angle_beta 124.82
_cell_angle_gamma 117.30
loop_
_atom_site_label
_atom_site_fract_x
_atom_site_fract_y
_atom_site_fract_z
Sb1 0.388 0.981 0.791
S1 0.089 0.493 0.809
H1 0.376 0.823 0.384
S2 0.911 0.507 0.191
H2 0.624 0.177 0.616
Sb2 0.612 0.019 0.209



# PBE SbHS2, optimized geometry
# SG: P-1 (2)
# Electronic total energy (eV for the cell shown): -33.14
# Total magnetic moment (μB per atom): 0.000
# ρ (Mg/m³): 2.950
data_SbHS2
_space_group_name_H-M_alt 'P 1'
_space_group_IT_number 1
_space_group_name_Hall 'P 1'
_cell_length_a 3.964
_cell_length_b 5.963
_cell_length_c 9.159
_cell_angle_alpha 84.33
_cell_angle_beta 102.34
_cell_angle_gamma 90.11
loop_
_atom_site_label
_atom_site_fract_x
_atom_site_fract_y
_atom_site_fract_z
S1 0.949 0.941 0.254
H1 0.944 0.169 0.242
S2 0.164 0.828 0.690
Sb1 0.155 0.420 0.673
H2 0.766 0.168 0.900
Sb2 0.555 0.917 0.469
S3 0.761 0.397 0.888
S4 0.546 0.510 0.452



# PBE SiSbHS2, optimized geometry
# SG: P4/mmm (123)
# Electronic total energy (eV for the cell shown): -15.20
# Total magnetic moment (μB per atom): 0.151
# ρ (Mg/m³): 2.579
# DOS(E_F) (states/eV/atom): 0.6907
data_SiSbHS2
_space_group_name_H-M_alt 'P 1'
_space_group_IT_number 1
_space_group_name_Hall 'P 1'
_cell_length_a 5.102
_cell_length_b 5.317
_cell_length_c 5.102
_cell_angle_alpha 90.00
_cell_angle_beta 90.00
_cell_angle_gamma 90.00
loop_
_atom_site_label
_atom_site_fract_x
_atom_site_fract_y
_atom_site_fract_z
S1 0.000 0.000 0.500
Sb1 0.000 0.000 0.000
S2 0.500 0.000 0.000
Si1 0.000 0.500 0.000
H1 0.500 0.500 0.500



# PBE Sb2TeHS, optimized geometry
# SG: P4/mmm (123)
# Electronic total energy (eV for the cell shown): -16.14
# Total magnetic moment (μB per atom): 0.000
# ρ (Mg/m³): 6.380
# DOS(E_F) (states/eV/atom): 0.4534
data_Sb2TeHS
_space_group_name_H-M_alt 'P 1'
_space_group_IT_number 1
_space_group_name_Hall 'P 1'
_cell_length_a 5.099
_cell_length_b 5.099
_cell_length_c 4.046
_cell_angle_alpha 90.00
_cell_angle_beta 90.00
_cell_angle_gamma 90.00
loop_
_atom_site_label
_atom_site_fract_x
_atom_site_fract_y
_atom_site_fract_z
H1 0.000 0.000 0.000
Sb1 0.500 0.000 0.000
Te1 0.000 0.000 0.500
Sb2 0.000 0.500 0.000
S1 0.500 0.500 0.500